# 1
{"formula": "Tm3TaO7", "functional": "PBEsol", "state": "optimized geometry", "lattice_angstrom": [[7.2546, 0.0000, 0.0000], [0.0000, 10.3274, 0.0000], [0.0000, 0.0000, 7.3807]], "species": ["Tm", "Tm", "Tm", "Tm", "Tm", "Tm", "Tm", "Tm", "Tm", "Tm", "Tm", "Tm", "Ta", "Ta", "Ta", "Ta", "O", "O", "O", "O", "O", "O", "O", "O", "O", "O", "O", "O", "O", "O", "O", "O", "O", "O", "O", "O", "O", "O", "O", "O", "O", "O", "O", "O"], "frac_coords": [[0.0172, 0.2500, 0.2037], [0.2487, 0.0223, 0.5351], [0.2487, 0.4777, 0.5351], [0.2513, 0.5223, 0.0351], [0.2513, 0.9777, 0.0351], [0.4828, 0.7500, 0.7037], [0.5172, 0.2500, 0.2963], [0.7487, 0.0223, 0.9649], [0.7487, 0.4777, 0.9649], [0.7513, 0.5223, 0.4649], [0.7513, 0.9777, 0.4649], [0.9828, 0.7500, 0.7963], [0.0031, 0.2500, 0.7510], [0.4969, 0.7500, 0.2510], [0.5031, 0.2500, 0.7490], [0.9969, 0.7500, 0.2490], [0.0408, 0.1237, 0.9575], [0.0408, 0.3763, 0.9575], [0.0450, 0.6071, 0.4086], [0.0450, 0.8929, 0.4086], [0.2400, 0.6163, 0.7689], [0.2400, 0.8837, 0.7689], [0.2487, 0.2500, 0.6515], [0.2513, 0.7500, 0.1515], [0.2600, 0.1163, 0.2689], [0.2600, 0.3837, 0.2689], [0.4550, 0.1071, 0.9086], [0.4550, 0.3929, 0.9086], [0.4592, 0.6237, 0.4575], [0.4592, 0.8763, 0.4575], [0.5408, 0.1237, 0.5425], [0.5408, 0.3763, 0.5425], [0.5450, 0.6071, 0.0914], [0.5450, 0.8929, 0.0914], [0.7400, 0.6163, 0.7311], [0.7400, 0.8837, 0.7311], [0.7487, 0.2500, 0.8485], [0.7513, 0.7500, 0.3485], [0.7600, 0.1163, 0.2311], [0.7600, 0.3837, 0.2311], [0.9550, 0.1071, 0.5914], [0.9550, 0.3929, 0.5914], [0.9592, 0.6237, 0.0425], [0.9592, 0.8763, 0.0425]], "relative_energy_ev_per_atom": 0.017}

# 2
{"formula": "Tm3TaO7", "functional": "PBEsol", "state": "optimized geometry", "lattice_angstrom": [[5.1749, -3.5830, 0.0000], [5.1749, 3.5830, 0.0000], [0.0000, 0.0000, 7.3444]], "species": ["Tm", "Tm", "Tm", "Tm", "Tm", "Tm", "Ta", "Ta", "O", "O", "O", "O", "O", "O", "O", "O", "O", "O", "O", "O", "O", "O"], "frac_coords": [[0.0000, 0.0000, 0.0000], [0.0000, 0.0000, 0.5000], [0.0589, 0.4833, 0.7500], [0.4833, 0.0589, 0.2500], [0.5167, 0.9411, 0.7500], [0.9411, 0.5167, 0.2500], [0.5000, 0.5000, 0.0000], [0.5000, 0.5000, 0.5000], [0.1109, 0.1541, 0.2500], [0.1541, 0.1109, 0.7500], [0.1731, 0.5651, 0.0381], [0.1731, 0.5651, 0.4619], [0.4108, 0.5892, 0.7500], [0.4349, 0.8269, 0.0381], [0.4349, 0.8269, 0.4619], [0.5651, 0.1731, 0.5381], [0.5651, 0.1731, 0.9619], [0.5892, 0.4108, 0.2500], [0.8269, 0.4349, 0.5381], [0.8269, 0.4349, 0.9619], [0.8459, 0.8891, 0.2500], [0.8891, 0.8459, 0.7500]], "relative_energy_ev_per_atom": 0.031}

# 3
{"formula": "Ta9VO25", "functional": "PBEsol", "state": "optimized geometry", "lattice_angstrom": [[-7.8690, 7.8690, 1.9176], [7.8690, -7.8690, 1.9176], [7.8690, 7.8690, -1.9176]], "species": ["Ta", "Ta", "Ta", "Ta", "Ta", "Ta", "Ta", "Ta", "Ta", "V", "O", "O", "O", "O", "O", "O", "O", "O", "O", "O", "O", "O", "O", "O", "O", "O", "O", "O", "O", "O", "O", "O", "O", "O", "O"], "frac_coords": [[0.0000, 0.0000, 0.0000], [0.1039, 0.2221, 0.3236], [0.1227, 0.6796, 0.7956], [0.2197, 0.8961, 0.1182], [0.3204, 0.1161, 0.4432], [0.6729, 0.8773, 0.5568], [0.7779, 0.1015, 0.8818], [0.8839, 0.3271, 0.2044], [0.8985, 0.7803, 0.6764], [0.7500, 0.2500, 0.5000], [0.0162, 0.7261, 0.7331], [0.0519, 0.1153, 0.1677], [0.0612, 0.5459, 0.6290], [0.1159, 0.9481, 0.0634], [0.1601, 0.3537, 0.5103], [0.1705, 0.7770, 0.9605], [0.2230, 0.1835, 0.3935], [0.2449, 0.6105, 0.8596], [0.2739, 0.0070, 0.2902], [0.3502, 0.8399, 0.1936], [0.3895, 0.2491, 0.6344], [0.4541, 0.0831, 0.5152], [0.5000, 0.5000, 0.0000], [0.5679, 0.9388, 0.4848], [0.6147, 0.7551, 0.3656], [0.6463, 0.1566, 0.8064], [0.7168, 0.9838, 0.7098], [0.7509, 0.3853, 0.1404], [0.7900, 0.8295, 0.6065], [0.8165, 0.2100, 0.0395], [0.8434, 0.6498, 0.4897], [0.8847, 0.0524, 0.9366], [0.9169, 0.4321, 0.3710], [0.9476, 0.8841, 0.8323], [0.9930, 0.2832, 0.2669]], "energy_ev_per_atom": -10.05}

# 4
{"formula": "TaVO5", "functional": "PBEsol", "state": "optimized geometry", "lattice_angstrom": [[11.9119, 0.0000, 0.0000], [0.0000, 5.5538, 0.0000], [0.0000, 0.0000, 6.9863]], "species": ["Ta", "Ta", "Ta", "Ta", "V", "V", "V", "V", "O", "O", "O", "O", "O", "O", "O", "O", "O", "O", "O", "O", "O", "O", "O", "O", "O", "O", "O", "O"], "frac_coords": [[0.0590, 0.2500, 0.1581], [0.4410, 0.7500, 0.6581], [0.5590, 0.2500, 0.3419], [0.9410, 0.7500, 0.8419], [0.1542, 0.7500, 0.4699], [0.3458, 0.2500, 0.9699], [0.6542, 0.7500, 0.0301], [0.8458, 0.2500, 0.5301], [0.0000, 0.0000, 0.0000], [0.0000, 0.5000, 0.0000], [0.0759, 0.7500, 0.6758], [0.1240, 0.9998, 0.3410], [0.1240, 0.5002, 0.3410], [0.2051, 0.2500, 0.0288], [0.2949, 0.7500, 0.5288], [0.3760, 0.0002, 0.8410], [0.3760, 0.4998, 0.8410], [0.4241, 0.2500, 0.1758], [0.5000, 0.0000, 0.5000], [0.5000, 0.5000, 0.5000], [0.5759, 0.7500, 0.8242], [0.6240, 0.9998, 0.1590], [0.6240, 0.5002, 0.1590], [0.7051, 0.2500, 0.4712], [0.7949, 0.7500, 0.9712], [0.8760, 0.0002, 0.6590], [0.8760, 0.4998, 0.6590], [0.9241, 0.2500, 0.3242]], "energy_ev_per_atom": -9.54}